[1]
3
Lattice="4.5571 0.0000 0.0000 0.0000 4.5571 0.0000 0.0000 0.0000 2.5935" Properties=species:S:1:pos:R:3 comment="MgRe2 GGA-PBE optimized geometry" dos_ef_per_ev_cell=2.9 dft_energy_ev_per_cell=-21.3 crystal_system=tetragonal sg="P4/mmm (123)" relative_energy_ev_per_atom=1.596 vol_a3_per_cell=53.9 pbc="T T T"
Mg 0.0000 0.0000 0.0000
Re 0.0000 2.2785 1.2967
Re 2.2785 0.0000 1.2967

[2]
6
Lattice="5.5844 -1.4502 0.0000 5.5844 1.4502 0.0000 -1.4530 0.0000 6.6305" Properties=species:S:1:pos:R:3 comment="Mg2Re GGA-PBE optimized geometry" dos_ef_per_ev_cell=3.0 dft_energy_ev_per_cell=-29.6 crystal_system=monoclinic sg="C2/m (12)" relative_energy_ev_per_atom=0.055 vol_a3_per_cell=107.4 pbc="T T T"
Mg 1.3472 0.0000 0.1537
Mg 1.2403 0.0000 4.2417
Mg 8.4756 0.0000 2.3888
Mg 8.3687 0.0000 6.4768
Re 4.3188 0.0000 4.3854
Re 5.3970 0.0000 2.2451

[3]
3
Lattice="4.4218 0.0000 0.0000 -2.2109 3.8294 0.0000 0.0000 0.0000 2.9158" Properties=species:S:1:pos:R:3 comment="MgRe2 GGA-PBE optimized geometry" dos_ef_per_ev_cell=1.7 dft_energy_ev_per_cell=-25.1 crystal_system=hexagonal sg="P6/mmm (191)" relative_energy_ev_per_atom=0.356 vol_a3_per_cell=49.4 pbc="T T T"
Mg 0.0000 0.0000 0.0000
Re 0.0000 2.5529 1.4579
Re 2.2109 1.2765 1.4579